This record from the Alexandria database describes a relaxed La3Mg2W2O12 crystal. The functional is PBE+U.

Geometry as extended XYZ:
```
19
Lattice="5.643 0.000 0.000 0.000 5.643 0.000 0.000 0.000 7.916" Properties=species:S:1:pos:R:3 pbc="T T T"
Mg 2.822 0.000 5.907
Mg 0.000 2.822 2.010
O 2.822 0.000 0.031
O 0.000 2.822 7.885
O 2.822 0.000 3.902
O 0.000 2.822 4.014
O 4.312 1.373 6.061
O 1.332 4.270 6.061
O 1.373 4.312 1.855
O 4.270 1.332 1.855
O 4.312 4.270 6.061
O 1.332 1.373 6.061
O 4.270 4.312 1.855
O 1.373 1.332 1.855
W 2.822 0.000 2.021
W 0.000 2.822 5.896
La 0.000 0.000 0.000
La 2.822 2.822 0.000
La 0.000 0.000 3.958
```

- Calculated density: 6.75 g/cm3
- Total moment: 1.00 Bohr magnetons per cell
- Space group: P-4m2
- Energy: -7.569 eV/atom